Density functional theory data (PBE) for crystalline CaZn4Cd8 at its relaxed geometry.

## Properties
Raw total energy: -15.59 eV for the cell shown
SG: No. 139
Calculated density: 7.4 g/cm³

Lattice parameters (Å, degrees): 7.4542 7.4542 7.4542 98.18 98.18 135.69
Fractional positions:
Ca1 0.0000 0.0000 0.0000
Zn1 0.0000 0.0000 0.5000
Zn2 0.0000 0.5000 0.0000
Zn3 0.5000 0.0000 0.0000
Zn4 0.5000 0.5000 0.5000
Cd1 0.0000 0.3459 0.3459
Cd2 0.0000 0.6541 0.6541
Cd3 0.2837 0.5000 0.7837
Cd4 0.3459 0.0000 0.3459
Cd5 0.5000 0.2837 0.7837
Cd6 0.5000 0.7163 0.2163
Cd7 0.6541 0.0000 0.6541
Cd8 0.7163 0.5000 0.2163

---

Density functional theory data (PBE) for crystalline Ca2ZnCd2 at its relaxed geometry.

## Properties
Raw total energy: -7.55 eV for the cell shown
SG: No. 139
Relative energy among the computed polymorphs: 0.205 eV/atom
Calculated density: 4.2 g/cm³

Lattice parameters (Å, degrees): 9.4746 9.4746 9.4746 155.51 155.51 34.91
Fractional positions:
Ca1 0.0961 0.0961 0.0000
Ca2 0.9039 0.9039 0.0000
Zn1 0.5000 0.5000 0.0000
Cd1 0.2500 0.7500 0.5000
Cd2 0.7500 0.2500 0.5000

---

Density functional theory data (PBE) for crystalline Ca7ZnCd2 at its relaxed geometry.

## Properties
Raw total energy: -37.58 eV for the cell shown
SG: No. 15
Calculated density: 2.9 g/cm³

Lattice parameters (Å, degrees): 9.5243 9.5243 11.0012 112.95 112.95 47.41
Fractional positions:
Ca1 0.0830 0.6465 0.9842
Ca2 0.0944 0.9056 0.7500
Ca3 0.2062 0.4101 0.6400
Ca4 0.2094 0.6084 0.4098
Ca5 0.3535 0.9170 0.5158
Ca6 0.3916 0.7906 0.0902
Ca7 0.4101 0.2062 0.1400
Ca8 0.5899 0.7938 0.8600
Ca9 0.6084 0.2094 0.9098
Ca10 0.6465 0.0830 0.4842
Ca11 0.7906 0.3916 0.5902
Ca12 0.7938 0.5899 0.3600
Ca13 0.9056 0.0944 0.2500
Ca14 0.9170 0.3535 0.0158
Zn1 0.4853 0.5147 0.2500
Zn2 0.5147 0.4853 0.7500
Cd1 0.1936 0.2143 0.8180
Cd2 0.2143 0.1936 0.3180
Cd3 0.7857 0.8064 0.6820
Cd4 0.8064 0.7857 0.1820

---

Density functional theory data (PBE) for crystalline CaZn2Cd at its relaxed geometry.

## Properties
Raw total energy: -6.01 eV for the cell shown
SG: No. 47
Calculated density: 5.2 g/cm³

Lattice parameters (Å, degrees): 3.4637 4.7533 5.5475 90.00 90.00 90.00
Fractional positions:
Ca1 0.0000 0.0000 0.0000
Zn1 0.5000 0.5000 0.2459
Zn2 0.5000 0.5000 0.7541
Cd1 0.5000 0.0000 0.5000

---

Density functional theory data (PBE) for crystalline Ca2ZnCd at its relaxed geometry.

## Properties
Raw total energy: -6.42 eV for the cell shown
SG: No. 160
Calculated density: 3.5 g/cm³

Lattice parameters (Å, degrees): 9.5515 9.5515 9.5515 23.66 23.66 23.66
Fractional positions:
Ca1 0.0000 0.0000 0.0000
Ca2 0.2162 0.2162 0.2162
Zn1 0.4749 0.4749 0.4749
Cd1 0.7505 0.7505 0.7505

---

Density functional theory data (PBE) for crystalline Ca2ZnCd16 at its relaxed geometry.

## Properties
Raw total energy: -22.10 eV for the cell shown
SG: No. 160
Calculated density: 7.3 g/cm³

Lattice parameters (Å, degrees): 7.6946 7.6946 7.6946 82.40 82.40 82.40
Fractional positions:
Ca1 0.0000 0.0000 0.0000
Ca2 0.3379 0.3379 0.3379
Zn1 0.5792 0.5792 0.5792
Cd1 0.0129 0.0129 0.5503
Cd2 0.0129 0.5503 0.0129
Cd3 0.2128 0.6445 0.6445
Cd4 0.2964 0.2964 0.8836
Cd5 0.2964 0.8836 0.2964
Cd6 0.3700 0.6727 0.9744
Cd7 0.3700 0.9744 0.6727
Cd8 0.5503 0.0129 0.0129
Cd9 0.6445 0.2128 0.6445
Cd10 0.6445 0.6445 0.2128
Cd11 0.6727 0.3700 0.9744
Cd12 0.6727 0.9744 0.3700
Cd13 0.7682 0.7682 0.7682
Cd14 0.8836 0.2964 0.2964
Cd15 0.9744 0.3700 0.6727
Cd16 0.9744 0.6727 0.3700

---

Density functional theory data (PBE) for crystalline Ca8Zn2Cd at its relaxed geometry.

## Properties
Raw total energy: -20.44 eV for the cell shown
SG: No. 71
Calculated density: 2.6 g/cm³

Lattice parameters (Å, degrees): 9.2138 9.2138 9.2138 147.30 120.71 69.37
Fractional positions:
Ca1 0.1240 0.3368 0.7872
Ca2 0.1360 0.1360 0.0000
Ca3 0.3183 0.0000 0.3183
Ca4 0.4503 0.6632 0.7872
Ca5 0.5497 0.3368 0.2128
Ca6 0.6817 0.0000 0.6817
Ca7 0.8640 0.8640 0.0000
Ca8 0.8760 0.6632 0.2128
Zn1 0.3042 0.8042 0.5000
Zn2 0.6958 0.1958 0.5000
Cd1 0.0000 0.5000 0.5000

---

Density functional theory data (PBE) for crystalline CaZn2Cd at its relaxed geometry.

## Properties
Raw total energy: -12.88 eV for the cell shown
SG: No. 38
Calculated density: 5.5 g/cm³

Lattice parameters (Å, degrees): 7.4770 5.5756 5.5756 47.15 90.00 90.00
Fractional positions:
Ca1 0.0000 0.0000 0.0000
Ca2 0.5000 0.1401 0.1401
Zn1 0.0000 0.3007 0.3007
Zn2 0.3150 0.4284 0.4284
Zn3 0.5000 0.8537 0.8537
Zn4 0.6850 0.4284 0.4284
Cd1 0.1967 0.7028 0.7028
Cd2 0.8033 0.7028 0.7028

---

Density functional theory data (PBE) for crystalline CaZnCd at its relaxed geometry.

## Properties
Raw total energy: -30.38 eV for the cell shown
SG: No. 51
Calculated density: 5.0 g/cm³

Lattice parameters (Å, degrees): 13.7759 3.9512 7.9001 90.00 90.00 90.00
Fractional positions:
Ca1 0.0481 0.0000 0.2446
Ca2 0.2500 0.0000 0.6518
Ca3 0.4519 0.0000 0.2446
Ca4 0.5481 0.0000 0.7554
Ca5 0.7500 0.0000 0.3482
Ca6 0.9519 0.0000 0.7554
Zn1 0.0873 0.5000 0.5503
Zn2 0.2500 0.0000 0.0526
Zn3 0.4127 0.5000 0.5503
Zn4 0.5873 0.5000 0.4497
Zn5 0.7500 0.0000 0.9474
Zn6 0.9127 0.5000 0.4497
Cd1 0.1202 0.5000 0.9188
Cd2 0.2500 0.5000 0.3143
Cd3 0.3798 0.5000 0.9188
Cd4 0.6202 0.5000 0.0812
Cd5 0.7500 0.5000 0.6857
Cd6 0.8798 0.5000 0.0812

---

Density functional theory data (PBE) for crystalline CaZnCd at its relaxed geometry.

## Properties
Raw total energy: -5.05 eV for the cell shown
SG: No. 187
Calculated density: 4.9 g/cm³

Lattice parameters (Å, degrees): 4.7602 4.7602 3.7262 90.00 90.00 120.00
Fractional positions:
Ca1 0.0000 0.0000 0.0000
Zn1 0.3333 0.6667 0.5000
Cd1 0.6667 0.3333 0.5000

---

Density functional theory data (PBE) for crystalline Ca2ZnCd at its relaxed geometry.

## Properties
Raw total energy: -6.88 eV for the cell shown
SG: No. 99
Calculated density: 3.8 g/cm³

Lattice parameters (Å, degrees): 3.7400 3.7400 8.0577 90.00 90.00 90.00
Fractional positions:
Ca1 0.0000 0.0000 0.0000
Ca2 0.5000 0.5000 0.3660
Zn1 0.5000 0.5000 0.7820
Cd1 0.0000 0.0000 0.6015

---

Density functional theory data (PBE) for crystalline Ca2ZnCd4 at its relaxed geometry.

## Properties
Raw total energy: -21.37 eV for the cell shown
SG: No. 11
Calculated density: 5.6 g/cm³

Lattice parameters (Å, degrees): 6.6621 6.2114 8.7144 90.00 102.25 90.00
Fractional positions:
Ca1 0.1281 0.2500 0.3862
Ca2 0.2064 0.7500 0.0221
Ca3 0.7936 0.2500 0.9779
Ca4 0.8719 0.7500 0.6138
Zn1 0.0584 0.2500 0.7386
Zn2 0.9416 0.7500 0.2614
Cd1 0.3078 0.2500 0.0340
Cd2 0.3336 0.7500 0.4258
Cd3 0.3877 0.5089 0.7270
Cd4 0.3877 0.9911 0.7270
Cd5 0.6123 0.0089 0.2730
Cd6 0.6123 0.4911 0.2730
Cd7 0.6664 0.2500 0.5742
Cd8 0.6922 0.7500 0.9660

---

Please write out number 5 again, unchanged.
Density functional theory data (PBE) for crystalline Ca2ZnCd at its relaxed geometry.

## Properties
Raw total energy: -6.42 eV for the cell shown
SG: No. 160
Calculated density: 3.5 g/cm³

Lattice parameters (Å, degrees): 9.5515 9.5515 9.5515 23.66 23.66 23.66
Fractional positions:
Ca1 0.0000 0.0000 0.0000
Ca2 0.2162 0.2162 0.2162
Zn1 0.4749 0.4749 0.4749
Cd1 0.7505 0.7505 0.7505